Record 1
A plane-wave DFT calculation with PBE-GGA was carried out for a relaxed structure of Na3B6ClO10.

Lattice parameters (Å, degrees): 7.633 9.989 12.955 90.00 90.00 90.00
Space group P2_12_12_1 (No. 19)
Inequivalent atoms, fractional coordinates:
Na 0.029 0.239 0.253 (multiplicity 4)
Na 0.060 0.204 0.758 (multiplicity 4)
Na 0.080 0.991 0.066 (multiplicity 4)
B 0.012 0.726 0.975 (multiplicity 4)
B 0.025 0.267 0.980 (multiplicity 4)
B 0.119 0.497 0.931 (multiplicity 4)
B 0.241 0.631 0.587 (multiplicity 4)
B 0.246 0.632 0.088 (multiplicity 4)
B 0.249 0.500 0.253 (multiplicity 4)
Cl 0.171 0.979 0.274 (multiplicity 4)
O 0.004 0.614 0.915 (multiplicity 4)
O 0.020 0.374 0.915 (multiplicity 4)
O 0.069 0.653 0.540 (multiplicity 4)
O 0.080 0.340 0.549 (multiplicity 4)
O 0.119 0.736 0.061 (multiplicity 4)
O 0.134 0.262 0.065 (multiplicity 4)
O 0.187 0.499 0.042 (multiplicity 4)
O 0.227 0.618 0.700 (multiplicity 4)
O 0.231 0.497 0.359 (multiplicity 4)
O 0.245 0.621 0.202 (multiplicity 4)

## Properties
As for the formation energy (no corrections): -2.336 eV/atom.

***

Record 2
A plane-wave DFT calculation with PBE-GGA was carried out for a relaxed structure of ScSnAs3.

Lattice parameters (Å, degrees): 5.166 5.166 5.166 90.00 90.00 90.00
Space group Pm-3m (No. 221)
Inequivalent atoms, fractional coordinates:
Sc 0.000 0.000 0.000 (multiplicity 1)
Sn 0.500 0.500 0.500 (multiplicity 1)
As 0.000 0.500 0.500 (multiplicity 3)

## Properties
The calculation puts the energy of formation at 0.60 eV/atom.

***

Record 3
A plane-wave DFT calculation with PBE-GGA was carried out for a relaxed structure of SrMg4.

Lattice parameters (Å, degrees): 7.253 7.253 5.378 90.00 90.00 90.00
Space group I4/m (No. 87)
Inequivalent atoms, fractional coordinates:
Sr 0.000 0.000 0.000 (multiplicity 2)
Mg 0.033 0.303 0.500 (multiplicity 8)

## Properties
The calculation puts the energy of formation at -0.01 eV/atom.

***

Repeat the second record exactly.
A plane-wave DFT calculation with PBE-GGA was carried out for a relaxed structure of ScSnAs3.

Lattice parameters (Å, degrees): 5.166 5.166 5.166 90.00 90.00 90.00
Space group Pm-3m (No. 221)
Inequivalent atoms, fractional coordinates:
Sc 0.000 0.000 0.000 (multiplicity 1)
Sn 0.500 0.500 0.500 (multiplicity 1)
As 0.000 0.500 0.500 (multiplicity 3)

## Properties
The calculation puts the energy of formation at 0.60 eV/atom.